Here is an optimized crystal structure of Nd2CoF8 from Alexandria via LeMat-Bulk. Energies are from PBE with a Hubbard U.

a = 7.6160 Å, b = 7.6160 Å, c = 5.3606 Å
α = 110.44°, β = 110.44°, γ = 29.01°
Closest atoms and distances in Å follow each position.
Fractional positions:
1 Nd 0.1682 0.1682 0.1624  9 F 2.33-2.48
2 Nd 0.8318 0.8318 0.8376  9 F 2.33-2.48
3 Co 0.5000 0.5000 0.5000  6 F 2.04-2.28
4 F 0.0337 0.0337 0.7512  2 Co 2.28, 1 Nd 2.37, 1 F 2.51
5 F 0.2239 0.2239 0.6289  3 Nd 2.33-2.48, 1 F 2.51
6 F 0.3287 0.3287 0.1153  3 Nd 2.43-2.47, 5 F 2.51-2.69, 1 Co 2.62
7 F 0.4100 0.4100 0.7140  1 Co 2.04
8 F 0.5900 0.5900 0.2860  1 Co 2.04
9 F 0.6713 0.6713 0.8847  3 Nd 2.43-2.47, 5 F 2.51-2.69, 1 Co 2.62
10 F 0.7761 0.7761 0.3711  3 Nd 2.33-2.48, 1 F 2.51
11 F 0.9663 0.9663 0.2488  2 Co 2.28, 1 Nd 2.37, 1 F 2.51

## Properties
The value obtained for the total energy is -6.174 eV/atom. Its magnetic moment is 3.00 μB/f.u.